Record 1
# CaY2ZrP4 (PBE-GGA, optimized geometry)
data_CaY2ZrP4
_space_group_name_H-M_alt 'P 1 2/m 1'
_space_group_IT_number 10
_cell_length_a 6.8130
_cell_length_b 3.9514
_cell_length_c 6.8935
_cell_angle_alpha 90.00
_cell_angle_beta 109.09
_cell_angle_gamma 90.00
loop_
_space_group_symop_operation_xyz
'x,y,z'
'-x,-y,-z'
'-x,y,-z'
'x,-y,z'
loop_
_atom_site_label
_atom_site_fract_x
_atom_site_fract_y
_atom_site_fract_z
_atom_site_occupancy
Ca1 0.0000 0.0000 0.0000 1
Y1 0.5000 0.0000 0.5000 1
Y2 0.5000 0.5000 0.0000 1
Zr1 0.0000 0.5000 0.5000 1
P1 0.2392 0.0000 0.7367 1
P2 0.2464 0.5000 0.2620 1
# M_tot = 0.000 μB/f.u.
# DFT formation energy = -1404 meV/atom

---

Record 2
# KAsF2 (PBE-GGA, optimized geometry)
data_KAsF2
_space_group_name_H-M_alt 'F m -3 m'
_space_group_IT_number 225
_space_group_name_Hall '-F 4 2 3'
_cell_length_a 6.5510
_cell_length_b 6.5510
_cell_length_c 6.5510
_cell_angle_alpha 90.00
_cell_angle_beta 90.00
_cell_angle_gamma 90.00
loop_
_atom_site_label
_atom_site_fract_x
_atom_site_fract_y
_atom_site_fract_z
_atom_site_occupancy
K1 0.0000 0.0000 0.0000 1
As1 0.0000 0.0000 0.5000 1
F1 0.2500 0.2500 0.2500 1
# Energy relative to the lowest polymorph listed for this composition = 2.96 eV per formula unit
# M_tot = 2.000 μB/f.u.

---

Record 3
# AlCdW2 (PBE-GGA, optimized geometry)
data_AlCdW2
_space_group_name_H-M_alt 'C m m m'
_space_group_IT_number 65
_space_group_name_Hall '-C 2 2'
_cell_length_a 3.3700
_cell_length_b 4.3541
_cell_length_c 9.0741
_cell_angle_alpha 90.00
_cell_angle_beta 90.00
_cell_angle_gamma 90.00
loop_
_atom_site_label
_atom_site_fract_x
_atom_site_fract_y
_atom_site_fract_z
_atom_site_occupancy
Al1 0.0000 0.0000 0.0000 1
Cd1 0.0000 0.0000 0.5000 1
W1 0.0000 0.5000 0.2325 1
# Energy relative to the lowest polymorph listed for this composition = 0.25 eV per formula unit
# M_tot = 0.000 μB/f.u.
# DFT formation energy = 314 meV/atom

---

Record 4
# K2PtAu (PBE-GGA, optimized geometry)
data_K2PtAu
_space_group_name_H-M_alt 'I m m 2'
_space_group_IT_number 44
_cell_length_a 5.0154
_cell_length_b 5.6926
_cell_length_c 8.8482
_cell_angle_alpha 90.00
_cell_angle_beta 90.00
_cell_angle_gamma 90.00
loop_
_space_group_symop_operation_xyz
'x,y,z'
'-x,-y,z'
'-x,y,z'
'x,-y,z'
'x+1/2,y+1/2,z+1/2'
'-x+1/2,-y+1/2,z+1/2'
'-x+1/2,y+1/2,z+1/2'
'x+1/2,-y+1/2,z+1/2'
loop_
_atom_site_label
_atom_site_fract_x
_atom_site_fract_y
_atom_site_fract_z
_atom_site_occupancy
K1 0.0000 0.0000 0.0000 1
K2 0.0000 0.5000 0.1971 1
Pt1 0.0000 0.0000 0.3763 1
Au1 0.0000 0.5000 0.8065 1
# Energy relative to the lowest polymorph listed for this composition = 0.22 eV per formula unit
# M_tot = 0.000 μB/f.u.
# DFT formation energy = -100 meV/atom

---

Record 5
# YAsI2Br (PBE-GGA, optimized geometry)
data_YAsI2Br
_space_group_name_H-M_alt 'P 4/m m m'
_space_group_IT_number 123
_space_group_name_Hall '-P 4 2'
_cell_length_a 5.6506
_cell_length_b 5.6506
_cell_length_c 5.6167
_cell_angle_alpha 90.00
_cell_angle_beta 90.00
_cell_angle_gamma 90.00
loop_
_atom_site_label
_atom_site_fract_x
_atom_site_fract_y
_atom_site_fract_z
_atom_site_occupancy
Y1 0.0000 0.0000 0.0000 1
As1 0.0000 0.0000 0.5000 1
I1 0.0000 0.5000 0.5000 1
Br1 0.5000 0.5000 0.0000 1
# M_tot = 0.000 μB/f.u.
# Uncorrected energy = -3.483 eV/atom

---

Record 6
# CsKTlPt (PBE-GGA, optimized geometry)
data_CsKTlPt
_space_group_name_H-M_alt 'C 1 m 1'
_space_group_IT_number 8
_cell_length_a 8.3143
_cell_length_b 4.8005
_cell_length_c 9.4153
_cell_angle_alpha 90.00
_cell_angle_beta 90.09
_cell_angle_gamma 90.00
loop_
_space_group_symop_operation_xyz
'x,y,z'
'x,-y,z'
'x+1/2,y+1/2,z'
'x+1/2,-y+1/2,z'
loop_
_atom_site_label
_atom_site_fract_x
_atom_site_fract_y
_atom_site_fract_z
_atom_site_occupancy
Cs1 0.0000 0.0000 0.0000 1
K1 0.4991 0.5000 0.4934 1
Tl1 0.1661 0.5000 0.7234 1
Pt1 0.3328 0.0000 0.7302 1
# M_tot = 0.000 μB/f.u.
# DFT formation energy = -126 meV/atom

---

Record 7
# Cs3Np3NiSe8 (PBE-GGA, optimized geometry)
data_Cs3Np3NiSe8
_space_group_name_H-M_alt 'R -3 m'
_space_group_IT_number 166
_space_group_name_Hall '-R 3 2"'
_cell_length_a 8.2658
_cell_length_b 8.2658
_cell_length_c 25.5719
_cell_angle_alpha 90.00
_cell_angle_beta 90.00
_cell_angle_gamma 120.00
loop_
_atom_site_label
_atom_site_fract_x
_atom_site_fract_y
_atom_site_fract_z
_atom_site_occupancy
Cs1 0.0000 0.5000 0.0000 1
Np1 0.0000 0.5000 0.5000 1
Ni1 0.0000 0.0000 0.5000 1
Se1 0.0000 0.0000 0.2291 1
Se2 0.0178 0.5089 0.2235 1
# M_tot = 11.591 μB/f.u.
# Uncorrected energy = -6.006 eV/atom

---

Record 8
# CsGaHg2S4 (PBE-GGA, optimized geometry)
data_CsGaHg2S4
_space_group_name_H-M_alt 'I 2 2 2'
_space_group_IT_number 23
_cell_length_a 6.4597
_cell_length_b 8.2198
_cell_length_c 9.2854
_cell_angle_alpha 90.00
_cell_angle_beta 90.00
_cell_angle_gamma 90.00
loop_
_space_group_symop_operation_xyz
'x,y,z'
'-x,-y,z'
'x,-y,-z'
'-x,y,-z'
'x+1/2,y+1/2,z+1/2'
'-x+1/2,-y+1/2,z+1/2'
'x+1/2,-y+1/2,-z+1/2'
'-x+1/2,y+1/2,-z+1/2'
loop_
_atom_site_label
_atom_site_fract_x
_atom_site_fract_y
_atom_site_fract_z
_atom_site_occupancy
Cs1 0.0000 0.0000 0.0000 1
Ga1 0.0000 0.0000 0.5000 1
Hg1 0.0000 0.5000 0.1708 1
S1 0.1990 0.1653 0.3517 1
# M_tot = 0.000 μB/f.u.
# Uncorrected energy = -3.220 eV/atom

---

Record 9
# PmHfNi2P2 (PBE-GGA, optimized geometry)
data_PmHfNi2P2
_space_group_name_H-M_alt 'P -3 m 1'
_space_group_IT_number 164
_space_group_name_Hall '-P 3 2"'
_cell_length_a 3.8375
_cell_length_b 3.8375
_cell_length_c 7.6483
_cell_angle_alpha 90.00
_cell_angle_beta 90.00
_cell_angle_gamma 120.00
loop_
_atom_site_label
_atom_site_fract_x
_atom_site_fract_y
_atom_site_fract_z
_atom_site_occupancy
Pm1 0.0000 0.0000 0.0000 1
Hf1 0.0000 0.0000 0.5000 1
Ni1 0.3333 0.6667 0.7193 1
P1 0.3333 0.6667 0.2675 1
# M_tot = 0.000 μB/f.u.
# DFT formation energy = -1118 meV/atom

---

Record 10
# ZnSiTeO6 (PBE-GGA, optimized geometry)
data_ZnSiTeO6
_space_group_name_H-M_alt 'P -3 1 c'
_space_group_IT_number 163
_space_group_name_Hall '-P 3 2c'
_cell_length_a 4.9244
_cell_length_b 4.9244
_cell_length_c 9.1619
_cell_angle_alpha 90.00
_cell_angle_beta 90.00
_cell_angle_gamma 120.00
loop_
_atom_site_label
_atom_site_fract_x
_atom_site_fract_y
_atom_site_fract_z
_atom_site_occupancy
Zn1 0.0000 0.0000 0.0000 1
Si1 0.3333 0.6667 0.2500 1
Te1 0.3333 0.6667 0.7500 1
O1 0.0211 0.3736 0.1379 1
# M_tot = 0.000 μB/f.u.
# Uncorrected energy = -5.989 eV/atom

---

Record 11
# Pr4Ho3Se8 (PBE-GGA, optimized geometry)
data_Pr4Ho3Se8
_space_group_name_H-M_alt 'C 1 2/m 1'
_space_group_IT_number 12
_cell_length_a 11.7526
_cell_length_b 11.7621
_cell_length_c 8.3071
_cell_angle_alpha 90.00
_cell_angle_beta 134.89
_cell_angle_gamma 90.00
loop_
_space_group_symop_operation_xyz
'x,y,z'
'-x,-y,-z'
'-x,y,-z'
'x,-y,z'
'x+1/2,y+1/2,z'
'-x+1/2,-y+1/2,-z'
'-x+1/2,y+1/2,-z'
'x+1/2,-y+1/2,z'
loop_
_atom_site_label
_atom_site_fract_x
_atom_site_fract_y
_atom_site_fract_z
_atom_site_occupancy
Pr1 0.0000 0.0000 0.0000 1
Pr2 0.0000 0.5000 0.5000 1
Pr3 0.2500 0.2500 0.0000 1
Ho1 0.0000 0.5000 0.0000 1
Ho2 0.2500 0.2500 0.5000 1
Se1 0.0000 0.2426 0.5000 1
Se2 0.0000 0.2559 0.0000 1
Se3 0.2484 0.0000 0.5118 1
Se4 0.2493 0.0000 0.9862 1
# Energy relative to the lowest polymorph listed for this composition = 0.00 eV per formula unit
# M_tot = 0.000 μB/f.u.

---

Record 12
# CdHPt2Au (PBE-GGA, optimized geometry)
data_CdHPt2Au
_space_group_name_H-M_alt 'P 4/m m m'
_space_group_IT_number 123
_space_group_name_Hall '-P 4 2'
_cell_length_a 4.0316
_cell_length_b 4.0316
_cell_length_c 4.3965
_cell_angle_alpha 90.00
_cell_angle_beta 90.00
_cell_angle_gamma 90.00
loop_
_atom_site_label
_atom_site_fract_x
_atom_site_fract_y
_atom_site_fract_z
_atom_site_occupancy
Cd1 0.0000 0.0000 0.0000 1
H1 0.0000 0.0000 0.5000 1
Pt1 0.0000 0.5000 0.5000 1
Au1 0.5000 0.5000 0.0000 1
# Energy relative to the lowest polymorph listed for this composition = 0.11 eV per formula unit
# M_tot = 0.000 μB/f.u.

---

Record 13
# PrSm4Se5 (PBE-GGA, optimized geometry)
data_PrSm4Se5
_space_group_name_H-M_alt 'C 1 2/m 1'
_space_group_IT_number 12
_cell_length_a 13.9256
_cell_length_b 4.1883
_cell_length_c 10.2724
_cell_angle_alpha 90.00
_cell_angle_beta 119.67
_cell_angle_gamma 90.00
loop_
_space_group_symop_operation_xyz
'x,y,z'
'-x,-y,-z'
'-x,y,-z'
'x,-y,z'
'x+1/2,y+1/2,z'
'-x+1/2,-y+1/2,-z'
'-x+1/2,y+1/2,-z'
'x+1/2,-y+1/2,z'
loop_
_atom_site_label
_atom_site_fract_x
_atom_site_fract_y
_atom_site_fract_z
_atom_site_occupancy
Pr1 0.0000 0.0000 0.0000 1
Sm1 0.0986 0.5000 0.3976 1
Sm2 0.2023 0.0000 0.7993 1
Se1 0.0000 0.0000 0.5000 1
Se2 0.1035 0.5000 0.8977 1
Se3 0.2020 0.0000 0.3051 1
# Energy relative to the lowest polymorph listed for this composition = 0.00 eV per formula unit
# M_tot = 0.000 μB/f.u.

---

Record 14
# Er4NiGe3 (PBE-GGA, optimized geometry)
data_Er4NiGe3
_space_group_name_H-M_alt 'P m m 2'
_space_group_IT_number 25
_cell_length_a 3.9846
_cell_length_b 4.1220
_cell_length_c 10.6146
_cell_angle_alpha 90.00
_cell_angle_beta 90.00
_cell_angle_gamma 90.00
loop_
_space_group_symop_operation_xyz
'x,y,z'
'-x,-y,z'
'-x,y,z'
'x,-y,z'
loop_
_atom_site_label
_atom_site_fract_x
_atom_site_fract_y
_atom_site_fract_z
_atom_site_occupancy
Er1 0.0000 0.0000 0.0000 1
Er2 0.0000 0.5000 0.4846 1
Er3 0.5000 0.0000 0.7102 1
Er4 0.5000 0.5000 0.2168 1
Ni1 0.0000 0.0000 0.2747 1
Ge1 0.0000 0.5000 0.7659 1
Ge2 0.5000 0.0000 0.4273 1
Ge3 0.5000 0.5000 0.9334 1
# M_tot = 0.000 μB/f.u.
# DFT formation energy = -753 meV/atom

---

Record 15
# Tm3PtN (PBE-GGA, optimized geometry)
data_Tm3PtN
_space_group_name_H-M_alt 'P m -3 m'
_space_group_IT_number 221
_space_group_name_Hall '-P 4 2 3'
_cell_length_a 4.6229
_cell_length_b 4.6229
_cell_length_c 4.6229
_cell_angle_alpha 90.00
_cell_angle_beta 90.00
_cell_angle_gamma 90.00
loop_
_atom_site_label
_atom_site_fract_x
_atom_site_fract_y
_atom_site_fract_z
_atom_site_occupancy
Tm1 0.0000 0.0000 0.5000 1
Pt1 0.5000 0.5000 0.5000 1
N1 0.0000 0.0000 0.0000 1
# M_tot = 0.002 μB/f.u.
# Uncorrected energy = -6.699 eV/atom

---

Record 16
# AlHg2Sb (PBE-GGA, optimized geometry)
data_AlHg2Sb
_space_group_name_H-M_alt 'I -4 2 d'
_space_group_IT_number 122
_space_group_name_Hall 'I -4 2bw'
_cell_length_a 8.1134
_cell_length_b 8.1134
_cell_length_c 6.0081
_cell_angle_alpha 90.00
_cell_angle_beta 90.00
_cell_angle_gamma 90.00
loop_
_atom_site_label
_atom_site_fract_x
_atom_site_fract_y
_atom_site_fract_z
_atom_site_occupancy
Al1 0.0000 0.0000 0.0000 1
Hg1 0.2258 0.2500 0.1250 1
Sb1 0.0000 0.0000 0.5000 1
# Energy relative to the lowest polymorph listed for this composition = 0.48 eV per formula unit
# M_tot = 0.000 μB/f.u.

---

Record 17
# TeRhN2F (PBE-GGA, optimized geometry)
data_TeRhN2F
_space_group_name_H-M_alt 'P 4/m m m'
_space_group_IT_number 123
_space_group_name_Hall '-P 4 2'
_cell_length_a 3.7485
_cell_length_b 3.7485
_cell_length_c 5.7846
_cell_angle_alpha 90.00
_cell_angle_beta 90.00
_cell_angle_gamma 90.00
loop_
_atom_site_label
_atom_site_fract_x
_atom_site_fract_y
_atom_site_fract_z
_atom_site_occupancy
Te1 0.0000 0.0000 0.0000 1
Rh1 0.0000 0.0000 0.5000 1
N1 0.0000 0.5000 0.5000 1
F1 0.5000 0.5000 0.0000 1
# Energy relative to the lowest polymorph listed for this composition = 0.00 eV per formula unit
# M_tot = 0.478 μB/f.u.

---

Record 18
# Dy4HoEr2Th (PBE-GGA, optimized geometry)
data_Dy4HoEr2Th
_space_group_name_H-M_alt 'P m m m'
_space_group_IT_number 47
_cell_length_a 4.9984
_cell_length_b 5.0085
_cell_length_c 10.0021
_cell_angle_alpha 90.00
_cell_angle_beta 90.00
_cell_angle_gamma 90.00
loop_
_space_group_symop_operation_xyz
'x,y,z'
'-x,-y,-z'
'-x,-y,z'
'x,y,-z'
'x,-y,-z'
'-x,y,z'
'-x,y,-z'
'x,-y,z'
loop_
_atom_site_label
_atom_site_fract_x
_atom_site_fract_y
_atom_site_fract_z
_atom_site_occupancy
Dy1 0.0000 0.0000 0.2491 1
Dy2 0.5000 0.5000 0.2486 1
Ho1 0.0000 0.5000 0.5000 1
Er1 0.0000 0.5000 0.0000 1
Er2 0.5000 0.0000 0.5000 1
Th1 0.5000 0.0000 0.0000 1
# M_tot = 0.000 μB/f.u.
# DFT formation energy = 31 meV/atom

---

Record 19
# CrBSb2I (PBE-GGA, optimized geometry)
data_CrBSb2I
_space_group_name_H-M_alt 'P 4/m m m'
_space_group_IT_number 123
_space_group_name_Hall '-P 4 2'
_cell_length_a 4.9680
_cell_length_b 4.9680
_cell_length_c 5.8521
_cell_angle_alpha 90.00
_cell_angle_beta 90.00
_cell_angle_gamma 90.00
loop_
_atom_site_label
_atom_site_fract_x
_atom_site_fract_y
_atom_site_fract_z
_atom_site_occupancy
Cr1 0.0000 0.0000 0.0000 1
B1 0.5000 0.5000 0.5000 1
Sb1 0.0000 0.5000 0.0000 1
I1 0.0000 0.0000 0.5000 1
# Energy relative to the lowest polymorph listed for this composition = 1.14 eV per formula unit
# M_tot = 1.904 μB/f.u.

---

Record 20
# K2MoP2N6 (PBE-GGA, optimized geometry)
data_K2MoP2N6
_space_group_name_H-M_alt 'R -3 m'
_space_group_IT_number 166
_space_group_name_Hall '-R 3 2"'
_cell_length_a 5.5793
_cell_length_b 5.5793
_cell_length_c 17.9224
_cell_angle_alpha 90.00
_cell_angle_beta 90.00
_cell_angle_gamma 120.00
loop_
_atom_site_label
_atom_site_fract_x
_atom_site_fract_y
_atom_site_fract_z
_atom_site_occupancy
K1 0.0000 0.0000 0.2065 1
Mo1 0.0000 0.0000 0.0000 1
P1 0.0000 0.0000 0.3969 1
N1 0.0078 0.5039 0.2667 1
# M_tot = 0.000 μB/f.u.
# Uncorrected energy = -6.892 eV/atom